(1)
InTcMoC2 | PBE | relaxed

a b c (Å): 4.2994 4.2994 5.4591
angles (deg): 90.00 90.00 90.00
Space group P4/mmm (No. 123)
One atom of each set of equivalent atoms:
In 0.0000 0.0000 0.0000 (multiplicity 1)
Tc 0.0000 0.0000 0.5000 (multiplicity 1)
Mo 0.5000 0.5000 0.5000 (multiplicity 1)
C 0.0000 0.5000 0.0000 (multiplicity 2)

Summary:
Magnetic moment, μB/atom: 0.055
VASP energy, eV/cell: -26.4
DFT formation energy, eV/atom: 3.188
DOS at the Fermi energy, states/eV/f.u.: 4.67


(2)
Tb3Pm2Sm6Ho | PBE | relaxed

a b c (Å): 6.2488 10.8187 11.9505
angles (deg): 90.00 100.03 90.00
Space group C2/m (No. 12)
One atom of each set of equivalent atoms:
Tb 0.0000 0.0000 0.0000 (multiplicity 2)
Tb 0.0000 0.3336 0.0000 (multiplicity 4)
Pm 0.0000 0.1667 0.5000 (multiplicity 4)
Sm 0.2486 0.5000 0.2484 (multiplicity 4)
Sm 0.2499 0.1662 0.2486 (multiplicity 8)
Ho 0.0000 0.5000 0.5000 (multiplicity 2)

Summary:
Magnetic moment, μB/atom: 0.000
VASP energy, eV/cell: -112.2
DFT formation energy, eV/atom: 0.013
DOS at the Fermi energy, states/eV/f.u.: 15.67


(3)
Mg3Zr5 | PBE | relaxed

a b c (Å): 8.3985 9.5457 4.4773
angles (deg): 90.00 90.00 90.00
Space group Cmmm (No. 65)
One atom of each set of equivalent atoms:
Mg 0.0000 0.0000 0.0000 (multiplicity 2)
Mg 0.2285 0.0000 0.5000 (multiplicity 4)
Zr 0.0000 0.2801 0.5000 (multiplicity 4)
Zr 0.0000 0.5000 0.0000 (multiplicity 2)
Zr 0.2500 0.2500 0.0000 (multiplicity 4)

Summary:
Magnetic moment, μB/atom: 0.000
VASP energy, eV/cell: -94.3
DFT formation energy, eV/atom: 0.048
DOS at the Fermi energy, states/eV/f.u.: 10.05


(4)
CrCuSb2 | PBE | relaxed

a b c (Å): 3.3492 3.3492 7.6639
angles (deg): 90.00 90.00 90.00
Space group P4mm (No. 99)
One atom of each set of equivalent atoms:
Cr 0.0000 0.0000 0.0000 (multiplicity 1)
Cu 0.5000 0.5000 0.1682 (multiplicity 1)
Sb 0.0000 0.0000 0.3708 (multiplicity 1)
Sb 0.5000 0.5000 0.7939 (multiplicity 1)

Summary:
Magnetic moment, μB/atom: 0.916
Formation energy (no corrections), eV per atom: 0.225
VASP energy, eV/cell: -21.1
DOS at the Fermi energy, states/eV/f.u.: 2.67


(5)
TbSmAlIn | PBE | relaxed

a b c (Å): 3.7021 3.7021 7.5691
angles (deg): 90.00 90.00 90.00
Space group P4mm (No. 99)
One atom of each set of equivalent atoms:
Tb 0.0000 0.0000 0.0000 (multiplicity 1)
Sm 0.0000 0.0000 0.5214 (multiplicity 1)
Al 0.5000 0.5000 0.7668 (multiplicity 1)
In 0.5000 0.5000 0.2542 (multiplicity 1)

Summary:
Magnetic moment, μB/atom: 0.000
VASP energy, eV/cell: -17.5
DFT formation energy, eV/atom: -0.428
DOS at the Fermi energy, states/eV/f.u.: 2.22


(6)
CuAs2Ir | PBE | relaxed

a b c (Å): 3.8540 3.8540 8.2853
angles (deg): 90.00 90.00 90.00
Space group I-4m2 (No. 119)
One atom of each set of equivalent atoms:
Cu 0.0000 0.0000 0.0000 (multiplicity 2)
As 0.0000 0.0000 0.5000 (multiplicity 2)
As 0.0000 0.5000 0.2500 (multiplicity 2)
Ir 0.0000 0.5000 0.7500 (multiplicity 2)

Summary:
Magnetic moment, μB/atom: 0.000
VASP energy, eV/cell: -42.4
DFT formation energy, eV/atom: 0.270
DOS at the Fermi energy, states/eV/f.u.: 2.18


(7)
TaCuNi2 | PBE | relaxed

a b c (Å): 5.9093 5.9093 5.9093
angles (deg): 90.00 90.00 90.00
Space group F-43m (No. 216)
One atom of each set of equivalent atoms:
Ta 0.0000 0.0000 0.0000 (multiplicity 4)
Cu 0.2500 0.2500 0.2500 (multiplicity 4)
Ni 0.0000 0.0000 0.5000 (multiplicity 4)
Ni 0.2500 0.2500 0.7500 (multiplicity 4)

Summary:
Magnetic moment, μB/atom: 0.000
VASP energy, eV/cell: -110.5
DFT formation energy, eV/atom: -0.031
DOS at the Fermi energy, states/eV/f.u.: 5.17


(8)
Zr2TiCd2 | PBE | relaxed

a b c (Å): 8.2758 8.2758 3.2761
angles (deg): 90.00 90.00 90.00
Space group P4/mbm (No. 127)
One atom of each set of equivalent atoms:
Zr 0.1689 0.3311 0.0000 (multiplicity 4)
Ti 0.0000 0.0000 0.0000 (multiplicity 2)
Cd 0.1301 0.6301 0.5000 (multiplicity 4)

Summary:
Magnetic moment, μB/atom: 0.307
VASP energy, eV/cell: -50.3
DFT formation energy, eV/atom: 0.332
DOS at the Fermi energy, states/eV/f.u.: 4.20


(9)
RePbC3 | PBE | relaxed

a b c (Å): 4.1246 4.1246 4.1246
angles (deg): 90.00 90.00 90.00
Space group Pm-3m (No. 221)
One atom of each set of equivalent atoms:
Re 0.0000 0.0000 0.0000 (multiplicity 1)
Pb 0.5000 0.5000 0.5000 (multiplicity 1)
C 0.0000 0.0000 0.5000 (multiplicity 3)

Summary:
Magnetic moment, μB/atom: 0.000
VASP energy, eV/cell: -35.8
DFT formation energy, eV/atom: 1.606
DOS at the Fermi energy, states/eV/f.u.: 3.39


(10)
Be3SnH | PBE | relaxed

a b c (Å): 3.7779 3.7779 3.7779
angles (deg): 90.00 90.00 90.00
Space group Pm-3m (No. 221)
One atom of each set of equivalent atoms:
Be 0.0000 0.0000 0.5000 (multiplicity 3)
Sn 0.5000 0.5000 0.5000 (multiplicity 1)
H 0.0000 0.0000 0.0000 (multiplicity 1)

Summary:
Magnetic moment, μB/atom: 0.000
VASP energy, eV/cell: -15.6
DOS at the Fermi energy, states/eV/f.u.: 1.09


(11)
GdSnBi2 | PBE | relaxed

a b c (Å): 3.4508 3.4508 37.3247
angles (deg): 90.00 90.00 120.00
Space group R-3m (No. 166, hexagonal axes)
One atom of each set of equivalent atoms:
Gd 0.0000 0.0000 0.0000 (multiplicity 3)
Sn 0.0000 0.0000 0.5000 (multiplicity 3)
Bi 0.0000 0.0000 0.0863 (multiplicity 6)

Summary:
Magnetic moment, μB/atom: 1.864
VASP energy, eV/cell: -76.0
DFT formation energy, eV/atom: 0.126
DOS at the Fermi energy, states/eV/f.u.: 3.84


(12)
CeSeO5 | PBE | relaxed

a b c (Å): 8.4782 8.5529 8.1627
angles (deg): 90.00 118.83 90.00
Space group C2/c (No. 15)
One atom of each set of equivalent atoms:
Ce 0.0000 0.0000 0.0000 (multiplicity 4)
Se 0.0000 0.3763 0.2500 (multiplicity 4)
O 0.0000 0.0509 0.7500 (multiplicity 4)
O 0.0011 0.2650 0.0812 (multiplicity 8)
O 0.1815 0.4896 0.3428 (multiplicity 8)

Summary:
Magnetic moment, μB/atom: 0.000
Formation energy (no corrections), eV per atom: -1.796
VASP energy, eV/cell: -187.1
DOS at the Fermi energy, states/eV/f.u.: 0.00


(13)
FeSnHg2 | PBE | relaxed

a b c (Å): 8.6027 8.6027 5.1570
angles (deg): 90.00 90.00 90.00
Space group I-42d (No. 122)
One atom of each set of equivalent atoms:
Fe 0.0000 0.0000 0.0000 (multiplicity 4)
Sn 0.0000 0.0000 0.5000 (multiplicity 4)
Hg 0.1680 0.2500 0.1250 (multiplicity 8)

Summary:
Magnetic moment, μB/atom: 0.507
VASP energy, eV/cell: -45.5
DFT formation energy, eV/atom: 0.426
DOS at the Fermi energy, states/eV/f.u.: 2.67


(14)
Hf2GaF | PBE | relaxed

a b c (Å): 4.9682 4.9682 13.3233
angles (deg): 90.00 90.00 90.00
Space group I-42d (No. 122)
One atom of each set of equivalent atoms:
Hf 0.1725 0.2500 0.1250 (multiplicity 8)
Ga 0.0000 0.0000 0.5000 (multiplicity 4)
F 0.0000 0.0000 0.0000 (multiplicity 4)

Summary:
Magnetic moment, μB/atom: 0.000
Formation energy (no corrections), eV per atom: -0.361
VASP energy, eV/cell: -105.0
DOS at the Fermi energy, states/eV/f.u.: 3.60


(15)
SrCrPt2 | PBE | relaxed

a b c (Å): 4.4295 4.4295 15.9154
angles (deg): 90.00 90.00 120.00
Space group R-3m (No. 166, hexagonal axes)
One atom of each set of equivalent atoms:
Sr 0.0000 0.0000 0.0000 (multiplicity 3)
Cr 0.0000 0.0000 0.5000 (multiplicity 3)
Pt 0.0000 0.0000 0.2000 (multiplicity 6)

Summary:
Magnetic moment, μB/atom: 0.817
VASP energy, eV/cell: -75.3
DFT formation energy, eV/atom: -0.432
DOS at the Fermi energy, states/eV/f.u.: 2.37


(16)
Ca2ZnPtN | PBE | relaxed

a b c (Å): 4.8931 4.8931 3.8845
angles (deg): 90.00 90.00 90.00
Space group P4/mmm (No. 123)
One atom of each set of equivalent atoms:
Ca 0.0000 0.5000 0.0000 (multiplicity 2)
Zn 0.0000 0.0000 0.5000 (multiplicity 1)
Pt 0.5000 0.5000 0.5000 (multiplicity 1)
N 0.0000 0.0000 0.0000 (multiplicity 1)

Summary:
Magnetic moment, μB/atom: 0.000
Formation energy (no corrections), eV per atom: -0.616
VASP energy, eV/cell: -22.7
DOS at the Fermi energy, states/eV/f.u.: 2.17


(17)
LaTa2Pb | PBE | relaxed

a b c (Å): 3.5646 5.2247 10.2307
angles (deg): 90.00 90.00 90.00
Space group Cmm2 (No. 35)
One atom of each set of equivalent atoms:
La 0.0000 0.0000 0.0000 (multiplicity 2)
Ta 0.0000 0.0000 0.4663 (multiplicity 2)
Ta 0.0000 0.5000 0.2679 (multiplicity 2)
Pb 0.0000 0.5000 0.7050 (multiplicity 2)

Summary:
Magnetic moment, μB/atom: 0.000
VASP energy, eV/cell: -62.4
DFT formation energy, eV/atom: 0.283
DOS at the Fermi energy, states/eV/f.u.: 4.39


(18)
CaTl4Ni | PBE | relaxed

a b c (Å): 8.8456 8.8456 8.8456
angles (deg): 90.00 90.00 90.00
Space group F-43m (No. 216)
One atom of each set of equivalent atoms:
Ca 0.0000 0.0000 0.0000 (multiplicity 4)
Tl 0.1242 0.1242 0.3758 (multiplicity 16)
Ni 0.2500 0.2500 0.7500 (multiplicity 4)

Summary:
Magnetic moment, μB/atom: 0.000
VASP energy, eV/cell: -60.6
DFT formation energy, eV/atom: 0.350
DOS at the Fermi energy, states/eV/f.u.: 3.48


(19)
CuAs2IrSe | PBE | relaxed

a b c (Å): 4.6524 4.6524 5.4781
angles (deg): 90.00 90.00 90.00
Space group P4/mmm (No. 123)
One atom of each set of equivalent atoms:
Cu 0.0000 0.0000 0.0000 (multiplicity 1)
As 0.0000 0.5000 0.5000 (multiplicity 2)
Ir 0.5000 0.5000 0.5000 (multiplicity 1)
Se 0.5000 0.5000 0.0000 (multiplicity 1)

Summary:
Magnetic moment, μB/atom: 0.000
Formation energy (no corrections), eV per atom: 0.764
VASP energy, eV/cell: -21.9
DOS at the Fermi energy, states/eV/f.u.: 3.89


(20)
MgTlH2 | PBE | relaxed

a b c (Å): 5.1935 5.1935 9.8544
angles (deg): 90.00 90.00 90.00
Space group I-42d (No. 122)
One atom of each set of equivalent atoms:
Mg 0.0000 0.0000 0.0000 (multiplicity 4)
Tl 0.0000 0.0000 0.5000 (multiplicity 4)
H 0.0905 0.2500 0.1250 (multiplicity 8)

Summary:
Magnetic moment, μB/atom: 0.000
VASP energy, eV/cell: -41.2
DOS at the Fermi energy, states/eV/f.u.: 1.01